The following is a DFT calculation (PBE) of a relaxed KSBr2 crystal.

Computed properties:
volume	406.15	Å³/cell
density	2.83	Mg/m³
electronic total energy	-2.39	eV/atom
offset from the most stable computed form	1.02	eV per formula unit
ΔE_f (raw)	-0.2468	eV/atom

Unit cell a=4.6932 b=4.6932 c=21.2924 alpha=90.00 beta=90.00 gamma=120.00
Space group R-3m (No. 166, hexagonal axes)
Asymmetric unit:
K1 0.0000 0.0000 0.0000
S1 0.0000 0.0000 0.5000
Br1 0.0000 0.0000 0.2440

***

The following is a DFT calculation (PBE) of a relaxed Sr3LiRh crystal.

Computed properties:
volume	342.61	Å³/cell
density	3.61	Mg/m³
electronic total energy	-3.00	eV/atom
formation energy	-135	meV/atom
offset from the most stable computed form	0.06	eV per formula unit

Unit cell a=4.547 b=10.290 c=7.323 alpha=90.00 beta=90.00 gamma=90.00
Space group Pmmn (No. 59, origin choice 2)
Asymmetric unit:
Sr1 0.250 0.059 0.206
Sr2 0.250 0.250 0.762
Li1 0.250 0.750 0.601
Rh1 0.250 0.750 0.956

***

The following is a DFT calculation (PBE) of a relaxed LaPm2Zn9 crystal.

Computed properties:
volume	700.02	Å³/cell
density	7.24	Mg/m³
electronic total energy	-2.47	eV/atom
formation energy	-313	meV/atom

Unit cell a=5.5588 b=5.5588 c=26.1586 alpha=90.00 beta=90.00 gamma=120.00
Space group R-3m (No. 166, hexagonal axes)
Asymmetric unit:
La1 0.0000 0.0000 0.0000
Pm1 0.0000 0.0000 0.1417
Zn1 0.0000 0.0000 0.3350
Zn2 0.0000 0.0000 0.5000
Zn3 0.0048 0.5024 0.9179

***

The following is a DFT calculation (PBE) of a relaxed FeCu2Pd4 crystal.

Computed properties:
volume	206.95	Å³/cell
density	9.77	Mg/m³
electronic total energy	-5.27	eV/atom
formation energy	76	meV/atom
offset from the most stable computed form	0.17	eV per formula unit

Unit cell a=6.368 b=5.133 c=7.062 alpha=90.00 beta=116.29 gamma=90.00
Space group P2_1/m (No. 11)
Asymmetric unit:
Fe1 0.068 0.250 0.336
Cu1 0.012 0.250 0.957
Cu2 0.221 0.750 0.504
Pd1 0.221 0.250 0.721
Pd2 0.356 0.750 0.914
Pd3 0.380 0.000 0.273